Entry 1:
Computed, not measured: a relaxed structure of Nd4AlTl at the GGA-PBE level of DFT.

## Properties
V	195.9	Å³ per cell
N(E_F)	1.199	states/eV per atom
offset from the most stable computed form	183	meV per atom

Cell: 5.871 3.800 8.782 Å, 90.00 90.04 90.00°
Space group P2/m (No. 10)
Symmetry-distinct sites (fractional):
Nd 0.000 0.000 0.200 (multiplicity 2)
Nd 0.500 0.500 0.279 (multiplicity 2)
Al 0.500 0.000 0.000 (multiplicity 1)
Tl 0.000 0.500 0.500 (multiplicity 1)


Entry 2:
Computed, not measured: a relaxed structure of Cs2SrPtCl6 at the GGA-PBE level of DFT.

## Properties
V	1274.6	Å³ per cell
N(E_F)	0.000	states/eV per atom
ΔE_f (raw)	-1.5411	eV/atom

Cell: 10.842 10.842 10.842 Å, 90.00 90.00 90.00°
Space group Fm-3m (No. 225)
Symmetry-distinct sites (fractional):
Cs 0.250 0.250 0.250 (multiplicity 8)
Sr 0.000 0.000 0.000 (multiplicity 4)
Pt 0.000 0.000 0.500 (multiplicity 4)
Cl 0.000 0.000 0.264 (multiplicity 24)


Entry 3:
Computed, not measured: a relaxed structure of Na2Y2PbO6 at the GGA-PBE level of DFT.

## Properties
V	346.3	Å³ per cell
N(E_F)	0.000	states/eV per atom
ΔE_f (raw)	-2.2279	eV/atom

Cell: 5.915 10.319 5.940 Å, 90.00 107.24 90.00°
Space group C2/m (No. 12)
Symmetry-distinct sites (fractional):
Na 0.000 0.162 0.000 (multiplicity 4)
Y 0.000 0.335 0.500 (multiplicity 4)
Pb 0.000 0.000 0.500 (multiplicity 2)
O 0.219 0.170 0.703 (multiplicity 8)
O 0.249 0.500 0.703 (multiplicity 4)


Entry 4:
Computed, not measured: a relaxed structure of Ho3TlAs4O12 at the GGA-PBE level of DFT.

## Properties
V	1020.2	Å³ per cell
N(E_F)	0.232	states/eV per atom
ΔE_f (raw)	-1.7573	eV/atom

Cell: 11.4072 11.4072 9.0531 Å, 90.00 90.00 120.00°
Space group R32 (No. 155, hexagonal axes)
Symmetry-distinct sites (fractional):
Ho 0.0000 0.5690 0.0000 (multiplicity 9)
Tl 0.0000 0.0000 0.0000 (multiplicity 3)
As 0.0000 0.0000 0.5000 (multiplicity 3)
As 0.0000 0.4208 0.5000 (multiplicity 9)
O 0.0000 0.5758 0.5000 (multiplicity 9)
O 0.0000 0.8290 0.5000 (multiplicity 9)
O 0.0368 0.2032 0.2246 (multiplicity 18)


Entry 5:
Computed, not measured: a relaxed structure of Cs2BeCdAs2 at the GGA-PBE level of DFT.

## Properties
V	729.8	Å³ per cell
uncorrected energy	-2.92	eV/atom
N(E_F)	0.003	states/eV per atom

Cell: 6.306 18.649 6.206 Å, 90.00 90.00 90.00°
Space group Ibam (No. 72)
Symmetry-distinct sites (fractional):
Cs 0.232 0.166 0.000 (multiplicity 8)
Be 0.000 0.500 0.250 (multiplicity 4)
Cd 0.000 0.000 0.250 (multiplicity 4)
As 0.204 0.425 0.000 (multiplicity 8)


Entry 6:
Computed, not measured: a relaxed structure of BeAsOs2 at the GGA-PBE level of DFT.

## Properties
V	52.4	Å³ per cell
N(E_F)	0.854	states/eV per atom
offset from the most stable computed form	0	meV per atom

Cell: 3.014 3.014 5.767 Å, 90.00 90.00 90.00°
Space group P4mm (No. 99)
Symmetry-distinct sites (fractional):
Be 0.000 0.000 0.000 (multiplicity 1)
As 0.500 0.500 0.735 (multiplicity 1)
Os 0.000 0.000 0.496 (multiplicity 1)
Os 0.500 0.500 0.163 (multiplicity 1)


Entry 7:
Computed, not measured: a relaxed structure of CaZnW2 at the GGA-PBE level of DFT.

## Properties
V	284.2	Å³ per cell
uncorrected energy	-6.65	eV/atom
N(E_F)	1.145	states/eV per atom

Cell: 6.575 6.575 6.575 Å, 90.00 90.00 90.00°
Space group F-43m (No. 216)
Symmetry-distinct sites (fractional):
Ca 0.000 0.000 0.000 (multiplicity 4)
Zn 0.250 0.250 0.250 (multiplicity 4)
W 0.000 0.000 0.500 (multiplicity 4)
W 0.250 0.250 0.750 (multiplicity 4)


Entry 8:
Computed, not measured: a relaxed structure of TiZnAsPt2 at the GGA-PBE level of DFT.

## Properties
V	99.6	Å³ per cell
uncorrected energy	-4.73	eV/atom
N(E_F)	1.407	states/eV per atom

Cell: 4.702 4.702 4.504 Å, 90.00 90.00 90.00°
Space group P4/mmm (No. 123)
Symmetry-distinct sites (fractional):
Ti 0.000 0.000 0.000 (multiplicity 1)
Zn 0.500 0.500 0.000 (multiplicity 1)
As 0.500 0.500 0.500 (multiplicity 1)
Pt 0.000 0.500 0.500 (multiplicity 2)